A geometry-optimized Pr2SmSc2 structure, computed with GGA-PBE.

Summary:
excess energy over the best structure of this formula in the dataset: 0.000 eV/atom
mass density: 5.680 g/cm³
calculated volume: 30.52 Å³ per atom
space-group type: C2/c, No. 15
total energy: -5.276 eV per atom
formation energy: 112 meV/atom

abc: 8.539 8.539 6.618
angles: 100.26 100.26 134.54
Sites, in units of the cell vectors:
Pr 0.794 0.701 0.502
Pr 0.299 0.206 0.998
Pr 0.701 0.794 0.002
Pr 0.206 0.299 0.498
Sm 0.160 0.840 0.250
Sm 0.840 0.160 0.750
Sc 0.350 0.650 0.250
Sc 0.751 0.249 0.250
Sc 0.249 0.751 0.750
Sc 0.650 0.350 0.750